# Ac3PuB2N6, optimized geometry, DFT GGA-PBE
# Symmetry = No. 164
# Raw formation energy = -1076 meV per atom
data_Ac3PuB2N6
_chemical_formula_sum 'Ac3 Pu1 B2 N6'
_symmetry_space_group_name_H-M 'P 1'
_symmetry_Int_Tables_number 1
_cell_length_a 5.739
_cell_length_b 5.739
_cell_length_c 6.797
_cell_angle_alpha 90.00
_cell_angle_beta 90.00
_cell_angle_gamma 120.00
loop_
_symmetry_equiv_pos_as_xyz
'x,y,z'
loop_
_atom_site_label
_atom_site_fract_x
_atom_site_fract_y
_atom_site_fract_z
Ac1 0.333 0.667 0.674
Ac2 0.667 0.333 0.326
Ac3 0.000 0.000 0.000
Pu1 0.000 0.000 0.500
B1 0.667 0.333 0.737
B2 0.333 0.667 0.263
N1 0.629 0.815 0.287
N2 0.185 0.371 0.287
N3 0.185 0.815 0.287
N4 0.815 0.629 0.713
N5 0.371 0.185 0.713
N6 0.815 0.185 0.713